DFT (PBEsol) results for a relaxed TiReSi3 crystal.

energy relative to the elements, uncorrected = 0.779 eV per atom
space-group type = No. 221
calculated density = 5.4 g/cm³
magnetic moment = 2.627 μB per formula unit

Structure (extended XYZ):
```
5
Lattice="4.611 0.000 0.000 0.000 4.611 0.000 0.000 0.000 4.611" Properties=species:S:1:pos:R:3 pbc="T T T"
Re 0.000 0.000 0.000
Si 0.000 2.305 0.000
Si 0.000 0.000 2.305
Si 2.305 0.000 0.000
Ti 2.305 2.305 2.305
```


DFT (PBEsol) results for a relaxed YTiReSi2 crystal.

energy relative to the elements, uncorrected = 0.618 eV per atom
space-group type = No. 123
calculated density = 5.6 g/cm³
magnetic moment = 2.008 μB per formula unit

Structure (extended XYZ):
```
5
Lattice="-1.925 -1.444 -3.933 -2.518 -3.060 2.356 -3.821 3.575 0.558" Properties=species:S:1:pos:R:3 pbc="T T T"
Y -1.911 1.788 0.279
Re 0.000 0.000 0.000
Si -1.259 -1.530 1.178
Si -0.963 -0.722 -1.966
Ti -4.133 -0.464 -0.509
```